(1)
Crystalline KMgNi2 at its relaxed geometry, computed with GGA-PBE.

The calculation puts the uncorrected energy at -2.81 eV per atom. The value obtained for the total moment is 0.0 μB/cell. The calculation puts the formation energy at 0.75 eV per atom.

It has space group I-4m2 (No. 119), with a = 4.628 Å, b = 4.628 Å, c = 6.776 Å, α = 90.00°, β = 90.00° and γ = 90.00°. The distinct sites, in fractional coordinates, are K at (0.000, 0.000, 0.000), Mg at (0.000, 0.500, 0.750), Ni at (0.000, 0.000, 0.500) and Ni at (0.000, 0.500, 0.250).

(2)
Crystalline KMg2Ni at its relaxed geometry, computed with GGA-PBE.

As for the relative energy among the computed polymorphs: 74.7 meV per atom. The calculation puts the uncorrected energy at -2.30 eV per atom. The value obtained for the total moment is 0.0 μB/cell. The calculation puts the formation energy at 0.21 eV per atom.

It has space group P4mm (No. 99), with a = 3.527 Å, b = 3.527 Å, c = 8.274 Å, α = 90.00°, β = 90.00° and γ = 90.00°. The distinct sites, in fractional coordinates, are K at (0.000, 0.000, 0.000), Mg at (0.000, 0.000, 0.598), Mg at (0.500, 0.500, 0.367) and Ni at (0.500, 0.500, 0.682).

(3)
Crystalline KMgNi2 at its relaxed geometry, computed with GGA-PBE.

The calculation puts the uncorrected energy at -3.24 eV per atom. The value obtained for the total moment is 0.0 μB/cell. The calculation puts the formation energy at 0.33 eV per atom.

It has space group Pmm2 (No. 25), with a = 3.034 Å, b = 3.284 Å, c = 8.347 Å, α = 90.00°, β = 90.00° and γ = 90.00°. The distinct sites, in fractional coordinates, are K at (0.000, 0.000, 0.000), Mg at (0.500, 0.500, 0.400), Ni at (0.000, 0.000, 0.603) and Ni at (0.500, 0.500, 0.702).

(4)
Crystalline KMg2Ni at its relaxed geometry, computed with GGA-PBE.

As for the relative energy among the computed polymorphs: 0.0 meV per atom. The calculation puts the uncorrected energy at -2.38 eV per atom. The value obtained for the total moment is 0.0 μB/cell. The calculation puts the formation energy at 0.14 eV per atom.

It has space group P2/m (No. 10), with a = 3.247 Å, b = 3.248 Å, c = 9.280 Å, α = 90.00°, β = 90.30° and γ = 90.00°. The distinct sites, in fractional coordinates, are K at (0.000, 0.000, 0.000), Mg at (0.498, 0.500, 0.345) and Ni at (0.000, 0.000, 0.500).

(5)
Crystalline KMg2Ni2 at its relaxed geometry, computed with GGA-PBE.

As for the relative energy among the computed polymorphs: 0.0 meV per atom. The calculation puts the uncorrected energy at -2.98 eV per atom. The value obtained for the total moment is 0.0 μB/cell. The calculation puts the formation energy at 0.19 eV per atom.

It has space group P4/mbm (No. 127), with a = 8.053 Å, b = 8.053 Å, c = 2.873 Å, α = 90.00°, β = 90.00° and γ = 90.00°. The distinct sites, in fractional coordinates, are K at (0.000, 0.000, 0.000), Mg at (0.136, 0.364, 0.500) and Ni at (0.148, 0.648, 0.000).

(6)
Crystalline KMg2Ni at its relaxed geometry, computed with GGA-PBE.

As for the relative energy among the computed polymorphs: 468.9 meV per atom. The calculation puts the uncorrected energy at -1.91 eV per atom. The value obtained for the total moment is 0.0 μB/cell. The calculation puts the formation energy at 0.61 eV per atom.

It has space group Cmmm (No. 65), with a = 6.738 Å, b = 8.314 Å, c = 3.262 Å, α = 90.00°, β = 90.00° and γ = 90.00°. The distinct sites, in fractional coordinates, are K at (0.000, 0.000, 0.000), Mg at (0.250, 0.250, 0.500) and Ni at (0.000, 0.500, 0.000).

(7)
Crystalline KMg2Ni at its relaxed geometry, computed with GGA-PBE.

As for the relative energy among the computed polymorphs: 417.9 meV per atom. The calculation puts the uncorrected energy at -1.96 eV per atom. The value obtained for the total moment is 0.0 μB/cell. The calculation puts the formation energy at 0.56 eV per atom.

It has space group Pmmm (No. 47), with a = 3.219 Å, b = 5.338 Å, c = 5.415 Å, α = 90.00°, β = 90.00° and γ = 90.00°. The distinct sites, in fractional coordinates, are K at (0.000, 0.000, 0.000), Mg at (0.000, 0.500, 0.500), Mg at (0.500, 0.000, 0.500) and Ni at (0.500, 0.500, 0.000).

(8)
Crystalline KMgNi2 at its relaxed geometry, computed with GGA-PBE.

The calculation puts the uncorrected energy at -3.00 eV per atom. The value obtained for the total moment is 0.0 μB/cell. The calculation puts the formation energy at 0.56 eV per atom.

It has space group R-3m (No. 166, hexagonal axes), with a = 2.9497 Å, b = 2.9497 Å, c = 27.8711 Å, α = 90.00°, β = 90.00° and γ = 120.00°. The distinct sites, in fractional coordinates, are K at (0.0000, 0.0000, 0.0000), Mg at (0.0000, 0.0000, 0.5000) and Ni at (0.0000, 0.0000, 0.2376).

(9)
Crystalline KMg2Ni at its relaxed geometry, computed with GGA-PBE.

As for the relative energy among the computed polymorphs: 275.4 meV per atom. The calculation puts the uncorrected energy at -2.10 eV per atom. The value obtained for the total moment is 0.0 μB/cell. The calculation puts the formation energy at 0.41 eV per atom.

It has space group I4_1/amd (No. 141, origin choice 2), with a = 6.119 Å, b = 6.119 Å, c = 15.236 Å, α = 90.00°, β = 90.00° and γ = 90.00°. The distinct sites, in fractional coordinates, are K at (0.000, 0.250, 0.375), Mg at (0.000, 0.000, 0.000) and Ni at (0.000, 0.250, 0.875).

(10)
Crystalline KMgNi2 at its relaxed geometry, computed with GGA-PBE.

The calculation puts the uncorrected energy at -2.84 eV per atom. The value obtained for the total moment is 0.0 μB/cell. The calculation puts the formation energy at 0.72 eV per atom.

It has space group I4/mmm (No. 139), with a = 4.466 Å, b = 4.466 Å, c = 7.445 Å, α = 90.00°, β = 90.00° and γ = 90.00°. The distinct sites, in fractional coordinates, are K at (0.000, 0.000, 0.000), Mg at (0.000, 0.000, 0.500) and Ni at (0.000, 0.500, 0.250).

(11)
Crystalline KMg2Ni at its relaxed geometry, computed with GGA-PBE.

As for the relative energy among the computed polymorphs: 372.6 meV per atom. The calculation puts the uncorrected energy at -2.01 eV per atom. The value obtained for the total moment is 0.0 μB/cell. The calculation puts the formation energy at 0.51 eV per atom.

It has space group I-4m2 (No. 119), with a = 5.078 Å, b = 5.078 Å, c = 7.327 Å, α = 90.00°, β = 90.00° and γ = 90.00°. The distinct sites, in fractional coordinates, are K at (0.000, 0.000, 0.000), Mg at (0.000, 0.000, 0.500), Mg at (0.000, 0.500, 0.750) and Ni at (0.000, 0.500, 0.250).

(12)
Crystalline K4MgNi at its relaxed geometry, computed with GGA-PBE.

The calculation puts the uncorrected energy at -1.22 eV per atom. The value obtained for the total moment is 2.1 μB/cell. The calculation puts the formation energy at 0.74 eV per atom.

It has space group F-43m (No. 216), with a = 10.399 Å, b = 10.399 Å, c = 10.399 Å, α = 90.00°, β = 90.00° and γ = 90.00°. The distinct sites, in fractional coordinates, are K at (0.124, 0.124, 0.376), Mg at (0.000, 0.000, 0.000) and Ni at (0.250, 0.250, 0.750).

(13)
Crystalline KMgNi2 at its relaxed geometry, computed with GGA-PBE.

The calculation puts the uncorrected energy at -3.19 eV per atom. The value obtained for the total moment is 0.9 μB/cell. The calculation puts the formation energy at 0.37 eV per atom.

It has space group C2/m (No. 12), with a = 8.854 Å, b = 2.838 Å, c = 6.923 Å, α = 90.00°, β = 96.76° and γ = 90.00°. The distinct sites, in fractional coordinates, are K at (0.000, 0.000, 0.000), Mg at (0.000, 0.500, 0.500) and Ni at (0.235, 0.000, 0.633).

(14)
Crystalline KMgNi2 at its relaxed geometry, computed with GGA-PBE.

The calculation puts the uncorrected energy at -3.16 eV per atom. The value obtained for the total moment is 0.0 μB/cell. The calculation puts the formation energy at 0.40 eV per atom.

It has space group Cm (No. 8), with a = 9.698 Å, b = 2.838 Å, c = 6.589 Å, α = 90.00°, β = 103.08° and γ = 90.00°. The distinct sites, in fractional coordinates, are K at (0.000, 0.000, 0.000), Mg at (0.321, 0.500, 0.460), Ni at (0.046, 0.500, 0.473) and Ni at (0.200, 0.000, 0.696).

(15)
Crystalline KMgNi2 at its relaxed geometry, computed with GGA-PBE.

The calculation puts the uncorrected energy at -3.19 eV per atom. The value obtained for the total moment is 0.4 μB/cell. The calculation puts the formation energy at 0.37 eV per atom.

It has space group P2/m (No. 10), with a = 2.854 Å, b = 3.876 Å, c = 7.231 Å, α = 90.00°, β = 90.53° and γ = 90.00°. The distinct sites, in fractional coordinates, are K at (0.000, 0.000, 0.000), Mg at (0.000, 0.000, 0.500) and Ni at (0.498, 0.500, 0.339).